Computed, not measured: a relaxed NbVF3 crystal at the GGA+U level of DFT.

## Properties
Fermi-level density of states   7.4 states/eV/cell
Polymorph energy (0 for the lowest one)   132 meV per atom
M_tot   6.8 μB per formula unit

Unit cell a=4.341 b=4.341 c=4.341 alpha=90.00 beta=90.00 gamma=90.00
Sites, in units of the cell vectors:
Nb: 0.000 0.000 0.000
V: 0.500 0.500 0.500
F: 0.000 0.000 0.500
F: 0.000 0.500 0.000
F: 0.500 0.000 0.000